Compound: LiYMo2O8
Source: Alexandria
Functional: PBE+U
Structure: optimized geometry Values from VASP.

DFT total energy ... -7.309 eV/atom
SG ... No. 2
Crystal system ... triclinic
Distance to the lowest polymorph of the same formula ... 10 meV per atom
Fermi-level density of states ... 0.000 states/eV/f.u.

Cell and atoms, written as Quantum ESPRESSO input:
```
&SYSTEM
  ibrav = 0, nat = 24, ntyp = 4
/
ATOMIC_SPECIES
Li 6.94 Li.upf
Y 88.91 Y.upf
Mo 95.94 Mo.upf
O 16.00 O.upf
CELL_PARAMETERS angstrom
5.250 -0.086 -0.019
-2.552 6.366 -0.117
-1.962 -2.348 9.695
ATOMIC_POSITIONS angstrom
Li -1.099 -1.314 9.220
Li 1.835 5.246 0.339
Y -0.904 0.689 5.425
Y 1.640 3.243 4.134
Mo 1.840 1.944 7.657
Mo -1.104 1.988 1.902
Mo 1.613 -0.450 2.959
Mo -0.877 4.382 6.600
O -2.072 0.855 7.378
O 2.808 3.077 2.181
O -2.641 3.593 8.118
O 3.377 0.339 1.441
O 0.811 2.134 6.095
O -0.075 1.798 3.464
O 0.795 -0.124 1.409
O -0.059 4.056 8.150
O 0.105 4.474 2.750
O 0.631 -0.542 6.809
O 0.826 1.451 8.994
O -0.090 2.482 0.565
O 2.470 0.878 3.962
O -1.734 3.054 5.598
O 0.210 -0.950 4.061
O 0.526 4.882 5.498
```